1.
Computed, not measured: an optimized crystal structure of Ba3PbBr at the PBE level of DFT.

Calculated values
Space-group type = No. 11
Energy above the most stable polymorph in this dataset = 0.00 eV/f.u.

The structure in POSCAR format:
```
Ba3PbBr
1.0
9.037 0.000 0.000
0.000 5.104 0.000
-2.113 0.000 10.033
Ba Pb Br
6 2 2
Direct
0.088 0.250 0.295
0.295 0.250 0.967
0.408 0.750 0.637
0.592 0.250 0.363
0.705 0.750 0.033
0.912 0.750 0.705
0.332 0.750 0.220
0.668 0.250 0.780
0.142 0.250 0.628
0.858 0.750 0.372
```


2.
Computed, not measured: an optimized crystal structure of TaOF3 at the PBE level of DFT.

Calculated values
Space-group type = No. 221

The structure in POSCAR format:
```
TaOF3
1.0
3.914 0.000 0.000
0.000 3.914 0.000
0.000 0.000 3.914
Ta O F
1 1 3
Direct
0.000 0.000 0.000
0.500 0.500 0.500
0.000 0.500 0.500
0.500 0.000 0.500
0.500 0.500 0.000
```


3.
Computed, not measured: an optimized crystal structure of Ca3Dy3MnSe8 at the PBE level of DFT.

Calculated values
Space-group type = No. 166

The structure in POSCAR format:
```
Ca3Dy3MnSe8
1.0
4.082 2.357 6.820
-4.082 2.357 6.820
0.000 -4.713 6.820
Ca Dy Mn Se
3 3 1 8
Direct
0.000 0.500 0.500
0.500 0.000 0.500
0.500 0.500 0.000
0.000 0.000 0.500
0.000 0.500 0.000
0.500 0.000 0.000
0.500 0.500 0.500
0.248 0.248 0.248
0.253 0.740 0.740
0.260 0.260 0.747
0.260 0.747 0.260
0.740 0.253 0.740
0.740 0.740 0.253
0.747 0.260 0.260
0.752 0.752 0.752
```


So what do the calculations give for energy relative to the elements, uncorrected? Going down the list: -0.934, 0.339, -1.707 eV per atom.
So what do the calculations give for spin magnetization? Going down the list: 0.83, 1.83, 4.79 μB per formula unit.
So what do the calculations give for final energy? Going down the list: -3.1634, -4.1457, -5.4979 eV per atom.